# TaBeAs, optimized geometry, DFT PBE
data_TaBeAs
_chemical_formula_sum 'Ta2 Be2 As2'
_cell_length_a 3.180
_cell_length_b 3.180
_cell_length_c 8.491
_cell_angle_alpha 90.00
_cell_angle_beta 90.00
_cell_angle_gamma 90.00
_symmetry_space_group_name_H-M 'I 4 m m'
_symmetry_Int_Tables_number 107
_symmetry_space_group_name_Hall 'I 4 -2'
loop_
_atom_site_label
_atom_site_type_symbol
_atom_site_fract_x
_atom_site_fract_y
_atom_site_fract_z
Ta1 Ta 0.000 0.000 0.000
Be1 Be 0.000 0.000 0.318
As1 As 0.000 0.000 0.681
# Mass density   10.25 g/cm3
# Polymorph energy (0 for the lowest one)   0.0 kJ/mol of atoms
# Uncorrected energy   -6.768 eV per atom

# Ca2CdSi, optimized geometry, DFT PBE
data_Ca2CdSi
_chemical_formula_sum 'Ca4 Cd2 Si2'
_cell_length_a 3.679
_cell_length_b 5.047
_cell_length_c 11.250
_cell_angle_alpha 90.00
_cell_angle_beta 90.00
_cell_angle_gamma 90.00
_symmetry_space_group_name_H-M 'I m m 2'
_symmetry_Int_Tables_number 44
_symmetry_space_group_name_Hall 'I 2 -2'
loop_
_atom_site_label
_atom_site_type_symbol
_atom_site_fract_x
_atom_site_fract_y
_atom_site_fract_z
Ca1 Ca 0.000 0.000 0.000
Ca2 Ca 0.000 0.500 0.205
Cd1 Cd 0.000 0.500 0.787
Si1 Si 0.000 0.000 0.473
# Mass density   3.51 g/cm3
# Formation energy without anion corrections   -0.9 eV/f.u.
# Uncorrected energy   -2.817 eV per atom